Th2RuBr | PBE-GGA | optimized geometry

Lattice parameters (Å, degrees): 4.1596 4.1596 23.7514 90.00 90.00 120.00
Space group R-3m (No. 166, hexagonal axes)
Unique sites:
Th (0.0000, 0.0000, 0.2282) [6 per cell]
Ru (0.0000, 0.0000, 0.5000) [3 per cell]
Br (0.0000, 0.0000, 0.0000) [3 per cell]

## Properties
- E_form (uncorrected): -841 meV/atom

Ag2Sb2Te | PBE-GGA | optimized geometry

Lattice parameters (Å, degrees): 8.7607 8.7607 3.2217 90.00 90.00 90.00
Space group P4/mbm (No. 127)
Unique sites:
Ag (0.1686, 0.3314, 0.0000) [4 per cell]
Sb (0.1233, 0.6233, 0.5000) [4 per cell]
Te (0.0000, 0.0000, 0.0000) [2 per cell]

## Properties
- E_form (uncorrected): 170 meV/atom

CsCa2Mn | PBE-GGA | optimized geometry

Lattice parameters (Å, degrees): 8.4646 8.4646 8.4646 90.00 90.00 90.00
Space group Fm-3m (No. 225)
Unique sites:
Cs (0.0000, 0.0000, 0.0000) [4 per cell]
Ca (0.2500, 0.2500, 0.2500) [8 per cell]
Mn (0.0000, 0.0000, 0.5000) [4 per cell]

## Properties
- Energy of formation: 0.6594 eV per atom

VCuS4 | PBE-GGA | optimized geometry

Lattice parameters (Å, degrees): 7.9620 8.5160 6.5897 90.00 90.00 90.00
Space group Cmcm (No. 63)
Unique sites:
V (0.0000, 0.0162, 0.2500) [4 per cell]
Cu (0.0000, 0.3540, 0.2500) [4 per cell]
S (0.0000, 0.1950, 0.5182) [8 per cell]
S (0.2137, 0.4750, 0.7500) [8 per cell]

## Properties
- E_form (uncorrected): -125 meV/atom

Li2YZr | PBE-GGA | optimized geometry

Lattice parameters (Å, degrees): 3.0768 5.2981 5.8060 90.00 96.83 90.00
Space group P2/m (No. 10)
Unique sites:
Li (0.2372, 0.0000, 0.2310) [2 per cell]
Y (0.0000, 0.5000, 0.5000) [1 per cell]
Zr (0.5000, 0.5000, 0.0000) [1 per cell]

## Properties
- Energy of formation: 0.2800 eV per atom

Lu2GeAs | PBE-GGA | optimized geometry

Lattice parameters (Å, degrees): 3.8250 3.8250 26.8397 90.00 90.00 120.00
Space group R-3m (No. 166, hexagonal axes)
Unique sites:
Lu (0.0000, 0.0000, 0.1049) [6 per cell]
Ge (0.0000, 0.0000, 0.0000) [3 per cell]
As (0.0000, 0.0000, 0.5000) [3 per cell]

## Properties
- Energy of formation: -0.4416 eV per atom

Number 1: theoretical density 9.0 Mg/m³. Number 2: theoretical density 7.9 Mg/m³. Number 3: theoretical density 2.9 Mg/m³. Number 4: theoretical density 3.6 Mg/m³. Number 5: theoretical density 3.4 Mg/m³. Number 6: theoretical density 7.3 Mg/m³.